# Na2CaZn2

A geometry-optimized Na2CaZn2 structure (PBE, the Alexandria database).

a = 7.831 Å, b = 7.831 Å, c = 4.531 Å
α = 90.00°, β = 90.00°, γ = 90.00°
Fractional positions:
1 Na 0.170 0.330 0.000
2 Na 0.330 0.830 0.000
3 Na 0.670 0.170 0.000
4 Na 0.830 0.670 0.000
5 Ca 0.000 0.000 0.500
6 Ca 0.500 0.500 0.500
7 Zn 0.117 0.617 0.500
8 Zn 0.383 0.117 0.500
9 Zn 0.617 0.883 0.500
10 Zn 0.883 0.383 0.500

Properties
D(E_F): 7.3 states/eV per cell
SG: P4/mbm (127)
Distance to the lowest polymorph of the same formula: 0.000 eV per atom
Magnetic moment: 0.00 μB/f.u.
DFT formation energy: 0.029 eV per atom

***

# Na2Ca2Zn

A geometry-optimized Na2Ca2Zn structure (PBE, the Alexandria database).

a = 7.767 Å, b = 7.767 Å, c = 5.468 Å
α = 90.00°, β = 90.00°, γ = 90.00°
Fractional positions:
1 Na 0.138 0.362 0.000
2 Na 0.362 0.862 0.000
3 Na 0.638 0.138 0.000
4 Na 0.862 0.638 0.000
5 Ca 0.181 0.681 0.500
6 Ca 0.319 0.181 0.500
7 Ca 0.681 0.819 0.500
8 Ca 0.819 0.319 0.500
9 Zn 0.000 0.000 0.000
10 Zn 0.500 0.500 0.000

Properties
D(E_F): 6.4 states/eV per cell
SG: P4/mbm (127)
Distance to the lowest polymorph of the same formula: 0.226 eV per atom
Magnetic moment: 0.00 μB/f.u.
DFT formation energy: 0.135 eV per atom

***

# NaCaZn3

A geometry-optimized NaCaZn3 structure (PBE, the Alexandria database).

a = 5.718 Å, b = 5.718 Å, c = 5.718 Å
α = 90.00°, β = 90.00°, γ = 90.00°
Fractional positions:
1 Na 0.000 0.000 0.000
2 Ca 0.500 0.500 0.500
3 Zn 0.000 0.500 0.500
4 Zn 0.500 0.000 0.500
5 Zn 0.500 0.500 0.000

Properties
D(E_F): 3.3 states/eV per cell
SG: Pm-3m (221)
Distance to the lowest polymorph of the same formula: 0.128 eV per atom
Magnetic moment: 0.00 μB/f.u.
DFT formation energy: 0.515 eV per atom

***

# Na3Ca12Zn5

A geometry-optimized Na3Ca12Zn5 structure (PBE, the Alexandria database).

a = 16.129 Å, b = 16.129 Å, c = 16.129 Å
α = 109.47°, β = 109.47°, γ = 109.47°
Fractional positions:
1 Na 0.125 0.250 0.375
2 Na 0.125 0.375 0.750
3 Na 0.250 0.375 0.125
4 Na 0.250 0.875 0.625
5 Na 0.375 0.125 0.250
6 Na 0.375 0.750 0.125
7 Na 0.625 0.250 0.875
8 Na 0.625 0.875 0.750
9 Na 0.750 0.125 0.375
10 Na 0.750 0.625 0.875
11 Na 0.875 0.625 0.250
12 Na 0.875 0.750 0.625
13 Ca 0.029 0.203 0.109
14 Ca 0.029 0.327 0.921
15 Ca 0.079 0.609 0.406
16 Ca 0.079 0.971 0.673
17 Ca 0.094 0.703 0.673
18 Ca 0.094 0.891 0.421
19 Ca 0.109 0.029 0.203
20 Ca 0.109 0.579 0.906
21 Ca 0.173 0.203 0.594
22 Ca 0.173 0.471 0.579
23 Ca 0.203 0.109 0.029
24 Ca 0.203 0.594 0.173
25 Ca 0.297 0.327 0.906
26 Ca 0.297 0.471 0.391
27 Ca 0.327 0.906 0.297
28 Ca 0.327 0.921 0.029
29 Ca 0.391 0.297 0.471
30 Ca 0.391 0.594 0.921
31 Ca 0.406 0.079 0.609
32 Ca 0.406 0.827 0.797
33 Ca 0.421 0.094 0.891
34 Ca 0.421 0.827 0.529
35 Ca 0.471 0.391 0.297
36 Ca 0.471 0.579 0.173
37 Ca 0.529 0.421 0.827
38 Ca 0.529 0.609 0.703
39 Ca 0.579 0.173 0.471
40 Ca 0.579 0.906 0.109
41 Ca 0.594 0.173 0.203
42 Ca 0.594 0.921 0.391
43 Ca 0.609 0.406 0.079
44 Ca 0.609 0.703 0.529
45 Ca 0.673 0.079 0.971
46 Ca 0.673 0.094 0.703
47 Ca 0.703 0.529 0.609
48 Ca 0.703 0.673 0.094
49 Ca 0.797 0.406 0.827
50 Ca 0.797 0.891 0.971
51 Ca 0.827 0.529 0.421
52 Ca 0.827 0.797 0.406
53 Ca 0.891 0.421 0.094
54 Ca 0.891 0.971 0.797
55 Ca 0.906 0.109 0.579
56 Ca 0.906 0.297 0.327
57 Ca 0.921 0.029 0.327
58 Ca 0.921 0.391 0.594
59 Ca 0.971 0.673 0.079
60 Ca 0.971 0.797 0.891
61 Zn 0.000 0.000 0.000
62 Zn 0.000 0.000 0.500
63 Zn 0.000 0.500 0.000
64 Zn 0.000 0.500 0.500
65 Zn 0.125 0.750 0.875
66 Zn 0.125 0.875 0.250
67 Zn 0.250 0.125 0.875
68 Zn 0.250 0.625 0.375
69 Zn 0.375 0.250 0.625
70 Zn 0.375 0.625 0.750
71 Zn 0.500 0.000 0.000
72 Zn 0.500 0.000 0.500
73 Zn 0.500 0.500 0.000
74 Zn 0.500 0.500 0.500
75 Zn 0.625 0.375 0.250
76 Zn 0.625 0.750 0.375
77 Zn 0.750 0.375 0.625
78 Zn 0.750 0.875 0.125
79 Zn 0.875 0.125 0.750
80 Zn 0.875 0.250 0.125

Properties
D(E_F): 71.2 states/eV per cell
SG: Ia-3d (230)
Magnetic moment: 0.00 μB/f.u.
DFT formation energy: 0.209 eV per atom

***

# NaCa7Zn2

A geometry-optimized NaCa7Zn2 structure (PBE, the Alexandria database).

a = 13.571 Å, b = 13.571 Å, c = 13.571 Å
α = 157.63°, β = 157.63°, γ = 31.84°
Fractional positions:
1 Na 0.000 0.000 0.000
2 Ca 0.111 0.611 0.500
3 Ca 0.250 0.750 0.500
4 Ca 0.389 0.889 0.500
5 Ca 0.500 0.500 0.000
6 Ca 0.611 0.111 0.500
7 Ca 0.750 0.250 0.500
8 Ca 0.889 0.389 0.500
9 Zn 0.323 0.323 0.000
10 Zn 0.677 0.677 0.000

Properties
D(E_F): 13.2 states/eV per cell
SG: I4/mmm (139)
Magnetic moment: 0.00 μB/f.u.
DFT formation energy: 0.001 eV per atom

***

# NaCa2Zn2

A geometry-optimized NaCa2Zn2 structure (PBE, the Alexandria database).

a = 8.200 Å, b = 8.200 Å, c = 4.127 Å
α = 90.00°, β = 90.00°, γ = 90.00°
Fractional positions:
1 Na 0.000 0.000 0.000
2 Na 0.500 0.500 0.000
3 Ca 0.172 0.328 0.500
4 Ca 0.328 0.828 0.500
5 Ca 0.672 0.172 0.500
6 Ca 0.828 0.672 0.500
7 Zn 0.117 0.617 0.000
8 Zn 0.383 0.117 0.000
9 Zn 0.617 0.883 0.000
10 Zn 0.883 0.383 0.000

Properties
D(E_F): 5.6 states/eV per cell
SG: P4/mbm (127)
Distance to the lowest polymorph of the same formula: 0.015 eV per atom
Magnetic moment: 0.00 μB/f.u.
DFT formation energy: -0.143 eV per atom